Here is a relaxed AcDy2Th crystal from Alexandria via LeMat-Bulk. Energies are from GGA-PBE.

Cell and atoms, written as POSCAR:
```
AcDy2Th
1.0
-1.079 4.698 1.412
-4.406 -0.161 -2.833
-2.604 -1.847 4.156
Ac Th Dy
1 1 2
Direct
0.500 0.000 0.000
0.500 0.500 0.500
0.000 0.000 0.500
0.000 0.500 0.000
```

Output
**V**: 34.5 Å³ per atom
**SG**: P4/mmm
**Calculated total energy**: -5.098 eV per atom
**Crystal system**: tetragonal
**Density of states at the Fermi level**: 1.098 states/eV/atom

Here is a relaxed TeHAuN2 crystal from Alexandria via LeMat-Bulk. Energies are from GGA-PBE.

Cell and atoms, written as POSCAR:
```
TeHAuN2
1.0
-2.068 -1.901 2.755
3.175 -0.089 2.322
-1.766 5.739 2.635
H Te Au N
1 1 1 2
Direct
0.500 0.500 0.500
0.000 0.000 0.500
0.000 0.000 0.000
0.000 0.500 0.000
0.500 0.000 0.000
```

Output
**V**: 20.3 Å³ per atom
**SG**: P4/mmm
**Calculated total energy**: -3.271 eV per atom
**Crystal system**: tetragonal
**Density of states at the Fermi level**: 0.426 states/eV/atom

> V of number 2 (TeHAuN2)?

20.3 Å³ per atom

> Among the records above, which one has the highest calculated total energy?

TeHAuN2